[1]
Compound: NpInPd14
Source: the Alexandria database
Functional: PBE-GGA
Structure: optimized geometry

Unit cell a=5.7605 b=5.7605 c=7.8031 alpha=90.00 beta=90.00 gamma=90.00
Last column: magnetic moment on the atom in μB.
Fractional positions:
Np1 0.3750 0.3750 0.5000  2.87
In1 0.8750 0.8750 0.5000  0.00
Pd1 0.8750 0.8750 0.0000  -0.08
Pd2 0.3750 0.3750 0.0000  0.00
Pd3 0.8750 0.3750 0.5000  -0.04
Pd4 0.8750 0.3750 0.0000  -0.09
Pd5 0.3750 0.8750 0.5000  -0.04
Pd6 0.3750 0.8750 0.0000  -0.09
Pd7 0.6239 0.1261 0.2481  -0.07
Pd8 0.6239 0.1261 0.7519  -0.07
Pd9 0.1261 0.6239 0.2481  -0.07
Pd10 0.1261 0.6239 0.7519  -0.07
Pd11 0.6239 0.6239 0.2481  -0.07
Pd12 0.6239 0.6239 0.7519  -0.07
Pd13 0.1261 0.1261 0.2481  -0.07
Pd14 0.1261 0.1261 0.7519  -0.07

Calculated values
density of states at the Fermi level = 27.50 states/eV per cell
E = -5.763 eV/atom

***

[2]
Compound: Np2InPd9
Source: the Alexandria database
Functional: PBE-GGA
Structure: optimized geometry

Unit cell a=4.1118 b=4.1118 c=12.2879 alpha=90.00 beta=90.00 gamma=90.00
Last column: magnetic moment on the atom in μB.
Fractional positions:
Np1 0.0000 0.0000 0.3292  3.30
Np2 0.0000 0.0000 0.6708  3.30
In1 0.0000 0.0000 0.0000  0.00
Pd1 0.5000 0.5000 0.0000  -0.03
Pd2 0.5000 0.5000 0.3316  -0.06
Pd3 0.5000 0.5000 0.6684  -0.06
Pd4 0.5000 0.0000 0.1647  -0.05
Pd5 0.5000 0.0000 0.5000  -0.07
Pd6 0.5000 0.0000 0.8353  -0.05
Pd7 0.0000 0.5000 0.1647  -0.05
Pd8 0.0000 0.5000 0.5000  -0.07
Pd9 0.0000 0.5000 0.8353  -0.05

Calculated values
density of states at the Fermi level = 28.28 states/eV per cell
E = -6.731 eV/atom

***

[3]
Compound: Np4InPd15
Source: the Alexandria database
Functional: PBE-GGA
Structure: optimized geometry

Unit cell a=4.1308 b=4.1308 c=20.5359 alpha=90.00 beta=90.00 gamma=90.00
Last column: magnetic moment on the atom in μB.
Fractional positions:
Np1 0.0000 0.0000 0.1955  3.35
Np2 0.0000 0.0000 0.3985  3.47
Np3 0.0000 0.0000 0.6015  3.47
Np4 0.0000 0.0000 0.8045  3.35
In1 0.0000 0.0000 0.0000  0.01
Pd1 0.5000 0.5000 0.0000  -0.02
Pd2 0.5000 0.5000 0.1975  -0.05
Pd3 0.5000 0.5000 0.3990  -0.04
Pd4 0.5000 0.5000 0.6010  -0.04
Pd5 0.5000 0.5000 0.8025  -0.05
Pd6 0.5000 0.0000 0.0978  -0.04
Pd7 0.5000 0.0000 0.2977  -0.05
Pd8 0.5000 0.0000 0.5000  -0.04
Pd9 0.5000 0.0000 0.7023  -0.05
Pd10 0.5000 0.0000 0.9022  -0.04
Pd11 0.0000 0.5000 0.0978  -0.04
Pd12 0.0000 0.5000 0.2977  -0.05
Pd13 0.0000 0.5000 0.5000  -0.04
Pd14 0.0000 0.5000 0.7023  -0.05
Pd15 0.0000 0.5000 0.9022  -0.04

Calculated values
density of states at the Fermi level = 48.62 states/eV per cell
E = -7.069 eV/atom

***

[4]
Compound: NpInPdPt
Source: the Alexandria database
Functional: PBE-GGA
Structure: optimized geometry

Unit cell a=4.8337 b=4.8337 c=4.8337 alpha=60.00 beta=60.00 gamma=60.00
Last column: magnetic moment on the atom in μB.
Fractional positions:
Np1 0.5000 0.5000 0.5000  3.61
Pd1 0.7500 0.7500 0.7500  -0.06
Pt1 0.2500 0.2500 0.2500  -0.11
In1 0.0000 0.0000 0.0000  0.00

Calculated values
density of states at the Fermi level = 9.99 states/eV per cell
E = -7.146 eV/atom

***

[5]
Compound: NpInPdRh
Source: the Alexandria database
Functional: PBE-GGA
Structure: optimized geometry

Unit cell a=4.7809 b=4.7809 c=4.7809 alpha=60.00 beta=60.00 gamma=60.00
Last column: magnetic moment on the atom in μB.
Fractional positions:
Np1 0.2500 0.2500 0.2500  3.64
Rh1 0.5000 0.5000 0.5000  -0.23
Pd1 0.0000 0.0000 0.0000  -0.06
In1 0.7500 0.7500 0.7500  0.01

Calculated values
density of states at the Fermi level = 8.28 states/eV per cell
E = -7.375 eV/atom

***

[6]
Compound: Np2InPdRh4
Source: the Alexandria database
Functional: PBE-GGA
Structure: optimized geometry

Unit cell a=4.0426 b=5.6818 c=14.0640 alpha=90.00 beta=90.00 gamma=110.84
Last column: magnetic moment on the atom in μB.
Fractional positions:
Np1 0.3514 0.7029 0.5829  3.20
Np2 0.6486 0.2971 0.0829  3.20
Np3 0.6486 0.2971 0.4171  3.20
Np4 0.3514 0.7029 0.9171  3.20
In1 0.1198 0.2396 0.7500  0.01
In2 0.8802 0.7604 0.2500  0.01
Pd1 0.7995 0.5990 0.7500  -0.06
Pd2 0.2005 0.4010 0.2500  -0.06
Rh1 0.3590 0.7181 0.0979  -0.27
Rh2 0.6410 0.2819 0.5979  -0.27
Rh3 0.6410 0.2819 0.9021  -0.27
Rh4 0.3590 0.7181 0.4021  -0.27
Rh5 0.0000 0.0000 0.5000  -0.32
Rh6 0.0000 0.0000 0.0000  -0.32
Rh7 0.4595 0.9191 0.7500  -0.23
Rh8 0.5405 0.0809 0.2500  -0.23

Calculated values
density of states at the Fermi level = 36.69 states/eV per cell
E = -8.097 eV/atom

***

[7]
Compound: NpInPdRu
Source: the Alexandria database
Functional: PBE-GGA
Structure: optimized geometry

Unit cell a=4.7497 b=4.7497 c=4.7497 alpha=60.00 beta=60.00 gamma=60.00
Last column: magnetic moment on the atom in μB.
Fractional positions:
Np1 0.5000 0.5000 0.5000  3.56
Ru1 0.7500 0.7500 0.7500  -0.32
Pd1 0.2500 0.2500 0.2500  -0.04
In1 0.0000 0.0000 0.0000  0.01

Calculated values
density of states at the Fermi level = 7.47 states/eV per cell
E = -7.685 eV/atom

***

[8]
Compound: PmNpIn6
Source: the Alexandria database
Functional: PBE-GGA
Structure: optimized geometry

Unit cell a=4.6584 b=4.6584 c=9.3631 alpha=90.00 beta=90.00 gamma=90.00
Last column: magnetic moment on the atom in μB.
Fractional positions:
Pm1 0.0000 0.0000 0.0000  0.00
Np1 0.0000 0.0000 0.5000  3.95
In1 0.5000 0.5000 0.0000  -0.01
In2 0.5000 0.5000 0.5000  0.01
In3 0.5000 0.0000 0.2537  0.00
In4 0.5000 0.0000 0.7463  0.00
In5 0.0000 0.5000 0.2537  0.00
In6 0.0000 0.5000 0.7463  0.00

Calculated values
density of states at the Fermi level = 12.69 states/eV per cell
E = -4.502 eV/atom

***

[9]
Compound: Pm3NpIn12
Source: the Alexandria database
Functional: PBE-GGA
Structure: optimized geometry

Unit cell a=4.6714 b=4.6714 c=18.7835 alpha=90.00 beta=90.00 gamma=90.00
Last column: magnetic moment on the atom in μB.
Fractional positions:
Pm1 0.0000 0.0000 0.2496  -0.01
Pm2 0.0000 0.0000 0.5000  -0.01
Pm3 0.0000 0.0000 0.7504  -0.01
Np1 0.0000 0.0000 0.0000  3.93
In1 0.5000 0.5000 0.0000  0.00
In2 0.5000 0.5000 0.2487  -0.01
In3 0.5000 0.5000 0.5000  -0.01
In4 0.5000 0.5000 0.7513  -0.01
In5 0.5000 0.0000 0.1226  -0.01
In6 0.5000 0.0000 0.3745  -0.01
In7 0.5000 0.0000 0.6255  -0.01
In8 0.5000 0.0000 0.8774  -0.01
In9 0.0000 0.5000 0.1226  -0.01
In10 0.0000 0.5000 0.3745  -0.01
In11 0.0000 0.5000 0.6255  -0.01
In12 0.0000 0.5000 0.8774  -0.01

Calculated values
density of states at the Fermi level = 17.85 states/eV per cell
E = -4.102 eV/atom

***

[10]
Compound: Pm2NpIn9
Source: the Alexandria database
Functional: PBE-GGA
Structure: optimized geometry

Unit cell a=4.6681 b=4.6681 c=14.0586 alpha=90.00 beta=90.00 gamma=90.00
Last column: magnetic moment on the atom in μB.
Fractional positions:
Pm1 0.0000 0.0000 0.3332  -0.01
Pm2 0.0000 0.0000 0.6668  -0.01
Np1 0.0000 0.0000 0.0000  3.95
In1 0.5000 0.5000 0.0000  0.01
In2 0.5000 0.5000 0.3318  -0.01
In3 0.5000 0.5000 0.6682  -0.01
In4 0.5000 0.0000 0.1637  0.00
In5 0.5000 0.0000 0.5000  -0.01
In6 0.5000 0.0000 0.8363  0.00
In7 0.0000 0.5000 0.1637  0.00
In8 0.0000 0.5000 0.5000  -0.01
In9 0.0000 0.5000 0.8363  0.00

Calculated values
density of states at the Fermi level = 14.81 states/eV per cell
E = -4.238 eV/atom

***

[11]
Compound: Pm2NpIn3Se6
Source: the Alexandria database
Functional: PBE-GGA
Structure: optimized geometry

Unit cell a=7.3451 b=7.3451 c=8.0950 alpha=98.70 beta=98.70 gamma=119.99
Last column: magnetic moment on the atom in μB.
Fractional positions:
Pm1 0.3334 0.6666 0.0000  0.03
Pm2 0.6666 0.3334 0.0000  0.03
Np1 0.0000 0.0000 0.0000  3.84
In1 0.1677 0.8323 0.5000  0.00
In2 0.8323 0.1677 0.5000  0.00
In3 0.5000 0.5000 0.5000  0.00
Se1 0.9292 0.5997 0.7876  -0.02
Se2 0.7417 0.7417 0.2136  -0.03
Se3 0.0708 0.4003 0.2124  -0.02
Se4 0.5997 0.9292 0.7876  -0.02
Se5 0.2583 0.2583 0.7864  -0.03
Se6 0.4003 0.0708 0.2124  -0.02

Calculated values
density of states at the Fermi level = 6.21 states/eV per cell
E = -5.425 eV/atom
formation energy (no corrections) = -1.13 eV/atom

***

[12]
Compound: PrNp2In9
Source: the Alexandria database
Functional: PBE-GGA
Structure: optimized geometry

Unit cell a=4.6676 b=4.6676 c=14.0522 alpha=90.00 beta=90.00 gamma=90.00
Last column: magnetic moment on the atom in μB.
Fractional positions:
Pr1 0.0000 0.0000 0.0000  -0.01
Np1 0.0000 0.0000 0.3346  3.96
Np2 0.0000 0.0000 0.6654  3.96
In1 0.5000 0.5000 0.0000  0.00
In2 0.5000 0.5000 0.3353  0.01
In3 0.5000 0.5000 0.6647  0.01
In4 0.5000 0.0000 0.1714  0.00
In5 0.5000 0.0000 0.5000  0.01
In6 0.5000 0.0000 0.8286  0.00
In7 0.0000 0.5000 0.1714  0.00
In8 0.0000 0.5000 0.5000  0.01
In9 0.0000 0.5000 0.8286  0.00

Calculated values
density of states at the Fermi level = 24.10 states/eV per cell
E = -4.769 eV/atom

***

Number 1: volume 16.2 A^3/atom. Number 2: volume 17.3 A^3/atom. Number 3: volume 17.5 A^3/atom. Number 4: volume 20.0 A^3/atom. Number 5: volume 19.3 A^3/atom. Number 6: volume 18.9 A^3/atom. Number 7: volume 18.9 A^3/atom. Number 8: volume 25.4 A^3/atom. Number 9: volume 25.6 A^3/atom. Number 10: volume 25.5 A^3/atom. Number 11: volume 30.0 A^3/atom. Number 12: volume 25.5 A^3/atom.